# 1
Entry from Alexandria: crystalline Nd2Tm3Sc2 at its relaxed geometry (PBE).

abc: 5.467 3.304 11.944
angles: 90.00 103.19 90.00
Fractional positions:
Nd  0.139  0.000  0.276
Nd  0.861  0.000  0.724
Tm  0.292  0.000  0.584
Tm  0.000  0.000  0.000
Tm  0.708  0.000  0.416
Sc  0.426  0.500  0.853
Sc  0.574  0.500  0.147

Results
**Magnetization**: 0.00 μB per cell
**Calculated total energy**: -4.87 eV per atom

# 2
Entry from Alexandria: crystalline Sc3Cd2Pt at its relaxed geometry (PBE).

abc: 4.798 7.697 7.065
angles: 90.00 90.01 71.84
Fractional positions:
Sc  0.826  0.348  0.779
Sc  0.500  0.000  0.241
Sc  0.174  0.652  0.221
Sc  0.826  0.348  0.221
Sc  0.174  0.652  0.779
Sc  0.500  0.000  0.759
Cd  0.000  0.000  0.000
Cd  0.000  0.000  0.500
Cd  0.332  0.335  0.500
Cd  0.668  0.665  0.500
Pt  0.352  0.296  0.000
Pt  0.648  0.704  0.000

Results
**Magnetization**: 0.00 μB per cell
**Calculated total energy**: -5.10 eV per atom

# 3
Entry from Alexandria: crystalline Mn2BeCu at its relaxed geometry (PBE).

abc: 3.246 3.246 8.877
angles: 79.46 79.46 90.00
Fractional positions:
Be  0.500  0.500  0.000
Be  0.250  0.750  0.500
Mn  0.582  0.125  0.250
Mn  0.168  0.625  0.250
Mn  0.375  0.418  0.750
Mn  0.875  0.832  0.750
Cu  0.000  0.000  0.000
Cu  0.750  0.250  0.500

Results
**Magnetization**: 0.00 μB per cell
**Calculated total energy**: -6.03 eV per atom

# 4
Entry from Alexandria: crystalline Er6Ni5Ir at its relaxed geometry (PBE).

abc: 4.764 6.670 7.522
angles: 90.00 71.54 90.00
Fractional positions:
Ni  0.665  0.500  0.669
Ni  0.333  0.000  0.335
Ni  0.000  0.500  0.000
Ni  0.667  0.000  0.665
Ni  0.335  0.500  0.331
Ir  0.000  0.000  0.000
Er  0.833  0.750  0.334
Er  0.833  0.250  0.334
Er  0.500  0.250  0.000
Er  0.500  0.750  0.000
Er  0.167  0.750  0.666
Er  0.167  0.250  0.666

Results
**Magnetization**: 0.00 μB per cell
**Calculated total energy**: -5.95 eV per atom